(1)
Below is an optimized crystal structure of SrLaCl3, with properties calculated at the PBE level.

## Properties
- N(E_F): 7.67 states/eV/cell
- Uncorrected formation energy: -1.600 eV per atom

Cell lengths 5.6535, 5.6535, 5.6535 Å; angles 90.00, 90.00, 90.00 degrees
Last column: nearest neighbours and their distance in Å.
Atoms (fractional coordinates):
1 Sr 0.5000 0.5000 0.5000  12 Cl 4.00
2 Cl 0.0000 0.5000 0.0000  2 La 2.83
3 Cl 0.5000 0.0000 0.0000  2 La 2.83
4 Cl 0.0000 0.0000 0.5000  2 La 2.83
5 La 0.0000 0.0000 0.0000  6 Cl 2.83


(2)
Below is an optimized crystal structure of SrLaCl, with properties calculated at the PBE level.

## Properties
- N(E_F): 5.47 states/eV/cell
- Energy relative to the lowest polymorph listed for this composition: 49.3 meV/atom
- Uncorrected formation energy: -0.943 eV per atom

Cell lengths 6.7709, 6.7709, 10.7263 Å; angles 50.52, 50.52, 35.18 degrees
Last column: nearest neighbours and their distance in Å.
Atoms (fractional coordinates):
1 Cl 0.4687 0.4687 0.9360  3 La 3.05-3.13, 2 Sr 3.06
2 Cl 0.2844 0.2844 0.3715  3 La 3.05-3.12, 2 Sr 3.06
3 La 0.9793 0.9793 0.7162  3 Cl 3.05-3.12
4 La 0.7739 0.7739 0.5911  3 Cl 3.05-3.13
5 Sr 0.6443 0.6443 0.3123  2 Cl 3.06
6 Sr 0.1089 0.1089 0.9950  2 Cl 3.06


(3)
Below is an optimized crystal structure of SrLaCl, with properties calculated at the PBE level.

## Properties
- N(E_F): 3.21 states/eV/cell
- Energy relative to the lowest polymorph listed for this composition: 162.1 meV/atom
- Uncorrected formation energy: -0.830 eV per atom

Cell lengths 7.7942, 7.7942, 7.7942 Å; angles 152.76, 152.76, 38.90 degrees
Last column: nearest neighbours and their distance in Å.
Atoms (fractional coordinates):
1 La 0.3560 0.3560 0.0000  4 Cl 3.33, 4 La 3.67
2 Sr 0.6457 0.6457 0.0000  4 Cl 3.38, 4 Sr 3.67
3 Cl 0.9983 0.9983 0.0000  4 La 3.33, 4 Sr 3.38, 4 Cl 3.67


(4)
Below is an optimized crystal structure of Sr3La2Cl12, with properties calculated at the PBE level.

## Properties
- N(E_F): 0.00 states/eV/cell
- Uncorrected formation energy: -2.416 eV per atom

Cell lengths 8.6283, 8.6283, 15.5829 Å; angles 79.46, 79.46, 109.83 degrees
Last column: nearest neighbours and their distance in Å.
Atoms (fractional coordinates):
1 Cl 0.0719 0.0805 0.0784  2 La 3.01-3.06, 2 Sr 3.05-3.15, 1 Cl 3.26
2 Cl 0.5082 0.0215 0.2502  1 La 2.85, 2 Sr 2.98-3.02
3 Cl 0.7584 0.7715 0.7497  1 La 2.85, 2 Sr 2.98-3.02
4 Cl 0.7715 0.7584 0.2497  1 La 2.85, 2 Sr 2.98-3.02
5 Cl 0.5827 0.6101 0.5768  1 La 2.87, 2 Sr 3.02-3.04
6 Cl 0.4918 0.9785 0.7498  1 La 2.85, 2 Sr 2.98-3.02
7 Cl 0.6596 0.1490 0.4215  2 La 3.02-3.05, 2 Sr 3.05-3.17, 1 Cl 3.26
8 Cl 0.0805 0.0719 0.5784  2 La 3.01-3.06, 2 Sr 3.05-3.15, 1 Cl 3.26
9 Cl 0.2285 0.2416 0.7503  1 La 2.85, 2 Sr 2.98-3.02
10 Cl 0.9195 0.9281 0.4216  2 La 3.01-3.06, 2 Sr 3.05-3.15, 1 Cl 3.26
11 Cl 0.0215 0.5082 0.7502  1 La 2.85, 2 Sr 2.98-3.02
12 Cl 0.1490 0.6596 0.9215  2 La 3.02-3.05, 2 Sr 3.05-3.17, 1 Cl 3.26
13 Cl 0.4173 0.3899 0.4232  1 La 2.87, 2 Sr 3.02-3.04
14 Cl 0.8510 0.3404 0.0785  2 La 3.02-3.05, 2 Sr 3.05-3.17, 1 Cl 3.26
15 Cl 0.6861 0.1606 0.9230  1 La 2.87, 2 Sr 3.02-3.03
16 Cl 0.9785 0.4918 0.2498  1 La 2.85, 2 Sr 2.98-3.02
17 Cl 0.3404 0.8510 0.5785  2 La 3.02-3.05, 2 Sr 3.05-3.17, 1 Cl 3.26
18 Cl 0.2416 0.2285 0.2503  1 La 2.85, 2 Sr 2.98-3.02
19 Cl 0.3139 0.8394 0.0770  1 La 2.87, 2 Sr 3.02-3.03
20 Cl 0.6101 0.5827 0.0768  1 La 2.87, 2 Sr 3.02-3.04
21 Cl 0.3899 0.4173 0.9232  1 La 2.87, 2 Sr 3.02-3.04
22 Cl 0.9281 0.9195 0.9216  2 La 3.01-3.06, 2 Sr 3.05-3.15, 1 Cl 3.26
23 Cl 0.1606 0.6861 0.4230  1 La 2.87, 2 Sr 3.02-3.03
24 Cl 0.8394 0.3139 0.5770  1 La 2.87, 2 Sr 3.02-3.03
25 La 0.2969 0.0465 0.4065  8 Cl 2.85-3.06
26 La 0.0465 0.2969 0.9065  8 Cl 2.85-3.06
27 La 0.9535 0.7031 0.0935  8 Cl 2.85-3.06
28 La 0.7031 0.9535 0.5935  8 Cl 2.85-3.06
29 Sr 0.1247 0.8753 0.7500  8 Cl 2.98-3.05
30 Sr 0.8753 0.1247 0.2500  8 Cl 2.98-3.05
31 Sr 0.5403 0.7903 0.9199  8 Cl 3.02-3.17
32 Sr 0.4597 0.2097 0.0801  8 Cl 3.02-3.17
33 Sr 0.7903 0.5403 0.4199  8 Cl 3.02-3.17
34 Sr 0.2097 0.4597 0.5801  8 Cl 3.02-3.17